A relaxed Na4Mg5 crystal. Source: the Alexandria database, functional PBE. Values from VASP.

Output
Raw total energy   -12.312 eV per cell
Energy above the lowest structure with this stoichiometry   0 meV per atom
Space group   I4/mmm, No. 139
Formation energy   10.05 kJ/mol of atoms

Structure (Quantum ESPRESSO input):
```
&SYSTEM
  ibrav = 0, nat = 9, ntyp = 2
/
ATOMIC_SPECIES
Na 22.99 Na.upf
Mg 24.30 Mg.upf
CELL_PARAMETERS angstrom
-5.3568 5.3568 2.1551
5.3568 -5.3568 2.1551
5.3568 5.3568 -2.1551
ATOMIC_POSITIONS crystal
Na 0.0000 0.3247 0.3247
Na 0.0000 0.6753 0.6753
Na 0.3247 0.0000 0.3247
Na 0.6753 0.0000 0.6753
Mg 0.0000 0.0000 0.0000
Mg 0.3369 0.3369 0.6738
Mg 0.3369 0.6631 0.0000
Mg 0.6631 0.3369 0.0000
Mg 0.6631 0.6631 0.3262
```

A relaxed NdDy4Tc crystal. Source: the Alexandria database, functional PBE. Values from VASP.

Output
Raw total energy   -134.403 eV per cell
Space group   Pnma, No. 62
Formation energy   -0.94 kJ/mol of atoms

Structure (Quantum ESPRESSO input):
```
&SYSTEM
  ibrav = 0, nat = 24, ntyp = 3
/
ATOMIC_SPECIES
Nd 144.24 Nd.upf
Dy 162.50 Dy.upf
Tc 98.00 Tc.upf
CELL_PARAMETERS angstrom
8.8512 0.0000 0.0000
0.0000 3.7617 0.0000
0.0000 0.0000 20.5842
ATOMIC_POSITIONS crystal
Nd 0.2253 0.2500 0.1877
Nd 0.2747 0.7500 0.6877
Nd 0.7253 0.2500 0.3123
Nd 0.7747 0.7500 0.8123
Dy 0.0086 0.7500 0.5663
Dy 0.0379 0.7500 0.2935
Dy 0.1339 0.7500 0.0430
Dy 0.1502 0.7500 0.8594
Dy 0.3498 0.2500 0.3594
Dy 0.3661 0.2500 0.5430
Dy 0.4621 0.2500 0.7935
Dy 0.4914 0.2500 0.0663
Dy 0.5086 0.7500 0.9337
Dy 0.5379 0.7500 0.2065
Dy 0.6339 0.7500 0.4570
Dy 0.6502 0.7500 0.6406
Dy 0.8498 0.2500 0.1406
Dy 0.8661 0.2500 0.9570
Dy 0.9621 0.2500 0.7065
Dy 0.9914 0.2500 0.4337
Tc 0.2384 0.7500 0.4548
Tc 0.2616 0.2500 0.9548
Tc 0.7384 0.7500 0.0452
Tc 0.7616 0.2500 0.5452
```

A relaxed PaMn2Si2C crystal. Source: the Alexandria database, functional PBE. Values from VASP.

Output
Raw total energy   -50.981 eV per cell
ΔE_f (raw)   -512.7 meV per atom
Space group   P4/mmm, No. 123

Structure (Quantum ESPRESSO input):
```
&SYSTEM
  ibrav = 0, nat = 6, ntyp = 4
/
ATOMIC_SPECIES
Pa 231.04 Pa.upf
Mn 54.94 Mn.upf
Si 28.09 Si.upf
C 12.01 C.upf
CELL_PARAMETERS angstrom
3.9176 0.0000 0.0000
0.0000 3.9176 0.0000
0.0000 0.0000 5.1351
ATOMIC_POSITIONS crystal
Pa 0.0000 0.0000 0.0000
Mn 0.0000 0.5000 0.5000
Mn 0.5000 0.0000 0.5000
Si 0.5000 0.5000 0.2282
Si 0.5000 0.5000 0.7718
C 0.0000 0.0000 0.5000
```

A relaxed LaGdSn2 crystal. Source: the Alexandria database, functional PBE. Values from VASP.

Output
Raw total energy   -29.881 eV per cell
Energy above the lowest structure with this stoichiometry   0 meV per atom
Space group   P4/mmm, No. 123
Formation energy   -69.17 kJ/mol of atoms

Structure (Quantum ESPRESSO input):
```
&SYSTEM
  ibrav = 0, nat = 4, ntyp = 3
/
ATOMIC_SPECIES
La 138.91 La.upf
Gd 157.25 Gd.upf
Sn 118.71 Sn.upf
CELL_PARAMETERS angstrom
3.5280 0.0000 0.0000
0.0000 3.5280 0.0000
0.0000 0.0000 9.1333
ATOMIC_POSITIONS crystal
La 0.0000 0.0000 0.0000
Gd 0.0000 0.0000 0.5000
Sn 0.5000 0.5000 0.2582
Sn 0.5000 0.5000 0.7418
```

A relaxed Na2SrPd crystal. Source: the Alexandria database, functional PBE. Values from VASP.

Output
Raw total energy   -19.626 eV per cell
Energy above the lowest structure with this stoichiometry   113 meV per atom
Space group   I-42d, No. 122
Formation energy   -7.24 kJ/mol of atoms

Structure (Quantum ESPRESSO input):
```
&SYSTEM
  ibrav = 0, nat = 8, ntyp = 3
/
ATOMIC_SPECIES
Na 22.99 Na.upf
Sr 87.62 Sr.upf
Pd 106.42 Pd.upf
CELL_PARAMETERS angstrom
-2.2226 2.2226 12.0658
2.2226 -2.2226 12.0658
2.2226 2.2226 -12.0658
ATOMIC_POSITIONS crystal
Na 0.0858 0.6250 0.9608
Na 0.3750 0.3358 0.4608
Na 0.6642 0.1250 0.0392
Na 0.8750 0.9142 0.5392
Sr 0.2500 0.7500 0.5000
Sr 0.5000 0.5000 0.0000
Pd 0.0000 0.0000 0.0000
Pd 0.7500 0.2500 0.5000
```

A relaxed Sc3TiBe crystal. Source: the Alexandria database, functional PBE. Values from VASP.

Output
Raw total energy   -25.834 eV per cell
Energy above the lowest structure with this stoichiometry   482 meV per atom
Space group   Pm-3m, No. 221
Formation energy   92.27 kJ/mol of atoms

Structure (Quantum ESPRESSO input):
```
&SYSTEM
  ibrav = 0, nat = 5, ntyp = 3
/
ATOMIC_SPECIES
Sc 44.96 Sc.upf
Ti 47.87 Ti.upf
Be 9.01 Be.upf
CELL_PARAMETERS angstrom
4.9136 0.0000 0.0000
0.0000 4.9136 0.0000
0.0000 0.0000 4.9136
ATOMIC_POSITIONS crystal
Sc 0.0000 0.0000 0.5000
Sc 0.0000 0.5000 0.0000
Sc 0.5000 0.0000 0.0000
Ti 0.0000 0.0000 0.0000
Be 0.5000 0.5000 0.5000
```

A relaxed CoSiAu3 crystal. Source: the Alexandria database, functional PBE. Values from VASP.

Output
Raw total energy   -17.540 eV per cell
ΔE_f (raw)   964.2 meV per atom
Energy above the lowest structure with this stoichiometry   240 meV per atom
Space group   Pm-3m, No. 221

Structure (Quantum ESPRESSO input):
```
&SYSTEM
  ibrav = 0, nat = 5, ntyp = 3
/
ATOMIC_SPECIES
Co 58.93 Co.upf
Si 28.09 Si.upf
Au 196.97 Au.upf
CELL_PARAMETERS angstrom
4.7630 0.0000 0.0000
0.0000 4.7630 0.0000
0.0000 0.0000 4.7630
ATOMIC_POSITIONS crystal
Co 0.0000 0.0000 0.0000
Si 0.5000 0.5000 0.5000
Au 0.0000 0.0000 0.5000
Au 0.0000 0.5000 0.0000
Au 0.5000 0.0000 0.0000
```

A relaxed TaRh2W crystal. Source: the Alexandria database, functional PBE. Values from VASP.

Output
Raw total energy   -40.484 eV per cell
Energy above the lowest structure with this stoichiometry   82 meV per atom
Space group   Cm, No. 8
Formation energy   -23.53 kJ/mol of atoms

Structure (Quantum ESPRESSO input):
```
&SYSTEM
  ibrav = 0, nat = 4, ntyp = 3
/
ATOMIC_SPECIES
Ta 180.95 Ta.upf
Rh 102.91 Rh.upf
W 183.84 W.upf
CELL_PARAMETERS angstrom
4.6001 -1.4153 0.0000
4.6001 1.4153 0.0000
-0.8323 0.0000 4.8036
ATOMIC_POSITIONS crystal
Ta 0.0000 0.0000 0.0000
Rh 0.4962 0.4962 0.4952
Rh 0.7477 0.7477 0.1987
W 0.2405 0.2405 0.6831
```

A relaxed Li2SiSe crystal. Source: the Alexandria database, functional PBE. Values from VASP.

Output
Raw total energy   -12.866 eV per cell
ΔE_f (raw)   -32.7 meV per atom
Energy above the lowest structure with this stoichiometry   442 meV per atom
Space group   F-43m, No. 216

Structure (Quantum ESPRESSO input):
```
&SYSTEM
  ibrav = 0, nat = 4, ntyp = 3
/
ATOMIC_SPECIES
Li 6.94 Li.upf
Si 28.09 Si.upf
Se 78.96 Se.upf
CELL_PARAMETERS angstrom
0.0000 3.2945 3.2945
3.2945 0.0000 3.2945
3.2945 3.2945 0.0000
ATOMIC_POSITIONS crystal
Li 0.0000 0.0000 0.0000
Li 0.2500 0.2500 0.2500
Si 0.7500 0.7500 0.7500
Se 0.5000 0.5000 0.5000
```

A relaxed CoCuTe2 crystal. Source: the Alexandria database, functional PBE. Values from VASP.

Output
Raw total energy   -34.600 eV per cell
ΔE_f (raw)   46.3 meV per atom
Energy above the lowest structure with this stoichiometry   6 meV per atom
Space group   I-42d, No. 122

Structure (Quantum ESPRESSO input):
```
&SYSTEM
  ibrav = 0, nat = 8, ntyp = 3
/
ATOMIC_SPECIES
Co 58.93 Co.upf
Cu 63.55 Cu.upf
Te 127.60 Te.upf
CELL_PARAMETERS angstrom
-2.9089 2.9089 5.7904
2.9089 -2.9089 5.7904
2.9089 2.9089 -5.7904
ATOMIC_POSITIONS crystal
Co 0.0000 0.0000 0.0000
Co 0.7500 0.2500 0.5000
Cu 0.2500 0.7500 0.5000
Cu 0.5000 0.5000 0.0000
Te 0.1074 0.6250 0.9824
Te 0.3750 0.3574 0.4824
Te 0.6426 0.1250 0.0176
Te 0.8750 0.8926 0.5176
```

A relaxed KNi2Se crystal. Source: the Alexandria database, functional PBE. Values from VASP.

Output
Raw total energy   -13.674 eV per cell
ΔE_f (raw)   617.8 meV per atom
Space group   F-43m, No. 216

Structure (Quantum ESPRESSO input):
```
&SYSTEM
  ibrav = 0, nat = 4, ntyp = 3
/
ATOMIC_SPECIES
K 39.10 K.upf
Ni 58.69 Ni.upf
Se 78.96 Se.upf
CELL_PARAMETERS angstrom
0.0000 3.3108 3.3108
3.3108 0.0000 3.3108
3.3108 3.3108 0.0000
ATOMIC_POSITIONS crystal
K 0.0000 0.0000 0.0000
Ni 0.2500 0.2500 0.2500
Ni 0.5000 0.5000 0.5000
Se 0.7500 0.7500 0.7500
```

A relaxed SrCa2TmS4 crystal. Source: the Alexandria database, functional PBE. Values from VASP.

Output
Raw total energy   -43.127 eV per cell
ΔE_f (raw)   -2057.5 meV per atom
Space group   P2/m, No. 10

Structure (Quantum ESPRESSO input):
```
&SYSTEM
  ibrav = 0, nat = 8, ntyp = 4
/
ATOMIC_SPECIES
Sr 87.62 Sr.upf
Ca 40.08 Ca.upf
Tm 168.93 Tm.upf
S 32.06 S.upf
CELL_PARAMETERS angstrom
6.9724 0.0000 0.0000
0.0000 4.0258 0.0000
-2.3209 0.0000 6.6337
ATOMIC_POSITIONS crystal
Sr 0.0000 0.0000 0.0000
Ca 0.5000 0.0000 0.5000
Ca 0.5000 0.5000 0.0000
Tm 0.0000 0.5000 0.5000
S 0.2440 0.0000 0.7348
S 0.2531 0.5000 0.2662
S 0.7469 0.5000 0.7338
S 0.7560 0.0000 0.2652
```

A relaxed Li2NiOs crystal. Source: the Alexandria database, functional PBE. Values from VASP.

Output
Raw total energy   -18.356 eV per cell
Energy above the lowest structure with this stoichiometry   572 meV per atom
Space group   Fm-3m, No. 225
Formation energy   59.88 kJ/mol of atoms

Structure (Quantum ESPRESSO input):
```
&SYSTEM
  ibrav = 0, nat = 4, ntyp = 3
/
ATOMIC_SPECIES
Li 6.94 Li.upf
Ni 58.69 Ni.upf
Os 190.23 Os.upf
CELL_PARAMETERS angstrom
0.0000 2.8663 2.8663
2.8663 0.0000 2.8663
2.8663 2.8663 0.0000
ATOMIC_POSITIONS crystal
Li 0.2500 0.2500 0.2500
Li 0.7500 0.7500 0.7500
Ni 0.0000 0.0000 0.0000
Os 0.5000 0.5000 0.5000
```

A relaxed LaTe3Os crystal. Source: the Alexandria database, functional PBE. Values from VASP.

Output
Raw total energy   -19.542 eV per cell
ΔE_f (raw)   1208.0 meV per atom
Energy above the lowest structure with this stoichiometry   1288 meV per atom
Space group   Pm-3m, No. 221

Structure (Quantum ESPRESSO input):
```
&SYSTEM
  ibrav = 0, nat = 5, ntyp = 3
/
ATOMIC_SPECIES
La 138.91 La.upf
Te 127.60 Te.upf
Os 190.23 Os.upf
CELL_PARAMETERS angstrom
6.1073 0.0000 0.0000
0.0000 6.1073 0.0000
0.0000 0.0000 6.1073
ATOMIC_POSITIONS crystal
La 0.0000 0.0000 0.0000
Te 0.0000 0.0000 0.5000
Te 0.0000 0.5000 0.0000
Te 0.5000 0.0000 0.0000
Os 0.5000 0.5000 0.5000
```

A relaxed AlInCuRh2 crystal. Source: the Alexandria database, functional PBE. Values from VASP.

Output
Raw total energy   -24.257 eV per cell
Space group   P4/mmm, No. 123
Formation energy   19.74 kJ/mol of atoms

Structure (Quantum ESPRESSO input):
```
&SYSTEM
  ibrav = 0, nat = 5, ntyp = 4
/
ATOMIC_SPECIES
Al 26.98 Al.upf
In 114.82 In.upf
Cu 63.55 Cu.upf
Rh 102.91 Rh.upf
CELL_PARAMETERS angstrom
4.4939 0.0000 0.0000
0.0000 4.4939 0.0000
0.0000 0.0000 4.3942
ATOMIC_POSITIONS crystal
Al 0.0000 0.0000 0.0000
In 0.5000 0.5000 0.5000
Cu 0.0000 0.0000 0.5000
Rh 0.0000 0.5000 0.0000
Rh 0.5000 0.0000 0.0000
```

A relaxed AlIn2GaF6 crystal. Source: the Alexandria database, functional PBE. Values from VASP.

Output
Raw total energy   -47.405 eV per cell
ΔE_f (raw)   -2393.1 meV per atom
Space group   P-1, No. 2

Structure (Quantum ESPRESSO input):
```
&SYSTEM
  ibrav = 0, nat = 10, ntyp = 4
/
ATOMIC_SPECIES
Al 26.98 Al.upf
In 114.82 In.upf
Ga 69.72 Ga.upf
F 19.00 F.upf
CELL_PARAMETERS angstrom
5.8056 0.0000 0.0000
2.2130 5.4076 0.0000
2.0313 1.4201 5.3155
ATOMIC_POSITIONS crystal
Al 0.0000 0.0000 0.0000
In 0.2489 0.2455 0.2474
In 0.7511 0.7545 0.7526
Ga 0.5000 0.5000 0.5000
F 0.1347 0.8404 0.2786
F 0.1693 0.7168 0.8723
F 0.2765 0.1307 0.8451
F 0.7235 0.8693 0.1549
F 0.8307 0.2832 0.1277
F 0.8653 0.1596 0.7214
```

A relaxed La2PrY5Tm crystal. Source: the Alexandria database, functional PBE. Values from VASP.

Output
Raw total energy   -98.556 eV per cell
Space group   I4/mcm, No. 140
Formation energy   23.03 kJ/mol of atoms

Structure (Quantum ESPRESSO input):
```
&SYSTEM
  ibrav = 0, nat = 18, ntyp = 4
/
ATOMIC_SPECIES
La 138.91 La.upf
Pr 140.91 Pr.upf
Y 88.91 Y.upf
Tm 168.93 Tm.upf
CELL_PARAMETERS angstrom
-4.3182 4.3182 8.0197
4.3182 -4.3182 8.0197
4.3182 4.3182 -8.0197
ATOMIC_POSITIONS crystal
La 0.1187 0.6187 0.7375
La 0.3813 0.1187 0.5000
La 0.6187 0.8813 0.5000
La 0.8813 0.3813 0.2625
Pr 0.2500 0.7500 0.5000
Pr 0.7500 0.2500 0.5000
Y 0.0000 0.0000 0.0000
Y 0.0711 0.1462 0.5000
Y 0.1462 0.6462 0.0751
Y 0.3538 0.4289 0.5000
Y 0.4289 0.9289 0.0751
Y 0.5000 0.5000 0.0000
Y 0.5711 0.0711 0.9249
Y 0.6462 0.5711 0.5000
Y 0.8538 0.3538 0.9249
Y 0.9289 0.8538 0.5000
Tm 0.2500 0.2500 0.0000
Tm 0.7500 0.7500 0.0000
```

A relaxed K2RbBr3 crystal. Source: the Alexandria database, functional PBE. Values from VASP.

Output
Raw total energy   -18.648 eV per cell
ΔE_f (raw)   -1744.4 meV per atom
Space group   I4/mmm, No. 139

Structure (Quantum ESPRESSO input):
```
&SYSTEM
  ibrav = 0, nat = 6, ntyp = 3
/
ATOMIC_SPECIES
K 39.10 K.upf
Rb 85.47 Rb.upf
Br 79.90 Br.upf
CELL_PARAMETERS angstrom
-2.4072 2.4072 10.1790
2.4072 -2.4072 10.1790
2.4072 2.4072 -10.1790
ATOMIC_POSITIONS crystal
K 0.1671 0.1671 0.0000
K 0.8329 0.8329 0.0000
Rb 0.5000 0.5000 0.0000
Br 0.0000 0.0000 0.0000
Br 0.3302 0.3302 0.0000
Br 0.6698 0.6698 0.0000
```

A relaxed La2PuGe4Rh3 crystal. Source: the Alexandria database, functional PBE. Values from VASP.

Output
Raw total energy   -71.934 eV per cell
Space group   P-4m2, No. 115
Formation energy   -69.70 kJ/mol of atoms

Structure (Quantum ESPRESSO input):
```
&SYSTEM
  ibrav = 0, nat = 10, ntyp = 4
/
ATOMIC_SPECIES
La 138.91 La.upf
Pu 244.00 Pu.upf
Ge 72.64 Ge.upf
Rh 102.91 Rh.upf
CELL_PARAMETERS angstrom
4.3201 0.0000 0.0000
0.0000 4.3201 0.0000
0.0000 0.0000 11.1857
ATOMIC_POSITIONS crystal
La 0.0000 0.5000 0.2304
La 0.5000 0.0000 0.7696
Pu 0.0000 0.0000 0.5000
Ge 0.0000 0.0000 0.0000
Ge 0.0000 0.5000 0.6710
Ge 0.5000 0.0000 0.3290
Ge 0.5000 0.5000 0.0000
Rh 0.0000 0.5000 0.8889
Rh 0.5000 0.0000 0.1111
Rh 0.5000 0.5000 0.5000
```

A relaxed AlTeOs2 crystal. Source: the Alexandria database, functional PBE. Values from VASP.

Output
Raw total energy   -26.814 eV per cell
ΔE_f (raw)   632.4 meV per atom
Energy above the lowest structure with this stoichiometry   364 meV per atom
Space group   Cmmm, No. 65

Structure (Quantum ESPRESSO input):
```
&SYSTEM
  ibrav = 0, nat = 4, ntyp = 3
/
ATOMIC_SPECIES
Al 26.98 Al.upf
Te 127.60 Te.upf
Os 190.23 Os.upf
CELL_PARAMETERS angstrom
1.5065 -2.4786 0.0000
1.5065 2.4786 0.0000
0.0000 0.0000 8.9845
ATOMIC_POSITIONS crystal
Al 0.0000 0.0000 0.0000
Te 0.0000 0.0000 0.5000
Os 0.5000 0.5000 0.2231
Os 0.5000 0.5000 0.7769
```